Entry 1:
A plane-wave DFT calculation with PBE-GGA was carried out for LiRe2Cl after structural relaxation. Values from VASP.

Summary:
V   70.0 Å³ per cell
Relative energy among the computed polymorphs   557 meV/atom
Total DFT energy (no corrections)   -6.6581 eV per atom

Quantum ESPRESSO input file:
```
&SYSTEM
  ibrav = 0, nat = 4, ntyp = 3
/
ATOMIC_SPECIES
Li 6.94 Li.upf
Re 186.21 Re.upf
Cl 35.45 Cl.upf
CELL_PARAMETERS angstrom
3.095 0.000 0.000
0.000 5.661 0.000
-0.006 0.000 3.998
ATOMIC_POSITIONS angstrom
Li 0.000 0.000 0.000
Re 0.691 2.831 0.967
Re 2.398 2.831 3.031
Cl 1.545 0.000 1.999
```

Entry 2:
A plane-wave DFT calculation with PBE-GGA was carried out for LiRe2Cl after structural relaxation. Values from VASP.

Summary:
V   53.1 Å³ per cell
Relative energy among the computed polymorphs   1447 meV/atom
Total DFT energy (no corrections)   -5.7683 eV per atom

Quantum ESPRESSO input file:
```
&SYSTEM
  ibrav = 0, nat = 4, ntyp = 3
/
ATOMIC_SPECIES
Li 6.94 Li.upf
Re 186.21 Re.upf
Cl 35.45 Cl.upf
CELL_PARAMETERS angstrom
0.000 2.983 2.983
2.983 0.000 2.983
2.983 2.983 0.000
ATOMIC_POSITIONS angstrom
Li 0.000 0.000 0.000
Re 1.492 1.492 1.492
Re 4.475 4.475 4.475
Cl 2.983 2.983 2.983
```

Entry 3:
A plane-wave DFT calculation with PBE-GGA was carried out for LiReCl2 after structural relaxation. Values from VASP.

Summary:
V   70.9 Å³ per cell
Relative energy among the computed polymorphs   480 meV/atom
Total DFT energy (no corrections)   -4.3805 eV per atom

Quantum ESPRESSO input file:
```
&SYSTEM
  ibrav = 0, nat = 4, ntyp = 3
/
ATOMIC_SPECIES
Li 6.94 Li.upf
Re 186.21 Re.upf
Cl 35.45 Cl.upf
CELL_PARAMETERS angstrom
3.218 -3.715 0.000
3.218 3.715 0.000
0.000 0.000 2.966
ATOMIC_POSITIONS angstrom
Li 0.000 0.000 0.000
Re 3.218 0.000 0.000
Cl 1.609 1.857 0.000
Cl 1.609 -1.857 0.000
```

Entry 4:
A plane-wave DFT calculation with PBE-GGA was carried out for LiReCl2 after structural relaxation. Values from VASP.

Summary:
V   63.4 Å³ per cell
Relative energy among the computed polymorphs   495 meV/atom
Total DFT energy (no corrections)   -4.3649 eV per atom

Quantum ESPRESSO input file:
```
&SYSTEM
  ibrav = 0, nat = 4, ntyp = 3
/
ATOMIC_SPECIES
Li 6.94 Li.upf
Re 186.21 Re.upf
Cl 35.45 Cl.upf
CELL_PARAMETERS angstrom
3.748 -1.558 0.000
3.748 1.558 0.000
-1.314 0.000 5.430
ATOMIC_POSITIONS angstrom
Li 0.000 0.000 0.000
Re 3.091 0.000 2.715
Cl 0.928 0.000 3.948
Cl 5.254 0.000 1.482
```

Entry 5:
A plane-wave DFT calculation with PBE-GGA was carried out for LiRe2Cl after structural relaxation. Values from VASP.

Summary:
V   58.2 Å³ per cell
Relative energy among the computed polymorphs   901 meV/atom
Total DFT energy (no corrections)   -6.3146 eV per atom

Quantum ESPRESSO input file:
```
&SYSTEM
  ibrav = 0, nat = 4, ntyp = 3
/
ATOMIC_SPECIES
Li 6.94 Li.upf
Re 186.21 Re.upf
Cl 35.45 Cl.upf
CELL_PARAMETERS angstrom
-1.421 2.350 4.356
1.421 -2.350 4.356
1.421 2.350 -4.356
ATOMIC_POSITIONS angstrom
Li 0.000 0.000 0.000
Re 1.421 0.000 2.442
Re 0.000 0.000 4.636
Cl 0.000 2.350 2.348
```

Entry 6:
A plane-wave DFT calculation with PBE-GGA was carried out for LiRe2Cl after structural relaxation. Values from VASP.

Summary:
V   60.4 Å³ per cell
Relative energy among the computed polymorphs   889 meV/atom
Total DFT energy (no corrections)   -6.3262 eV per atom

Quantum ESPRESSO input file:
```
&SYSTEM
  ibrav = 0, nat = 4, ntyp = 3
/
ATOMIC_SPECIES
Li 6.94 Li.upf
Re 186.21 Re.upf
Cl 35.45 Cl.upf
CELL_PARAMETERS angstrom
1.398 0.807 8.926
-1.398 0.807 8.926
0.000 -1.614 8.926
ATOMIC_POSITIONS angstrom
Li 0.000 0.000 0.000
Re 0.000 0.000 6.564
Re 0.000 0.000 20.215
Cl 0.000 0.000 13.390
```

Entry 7:
A plane-wave DFT calculation with PBE-GGA was carried out for LiRe2Cl after structural relaxation. Values from VASP.

Summary:
V   134.8 Å³ per cell
Relative energy among the computed polymorphs   1056 meV/atom
Total DFT energy (no corrections)   -6.1590 eV per atom

Quantum ESPRESSO input file:
```
&SYSTEM
  ibrav = 0, nat = 8, ntyp = 3
/
ATOMIC_SPECIES
Li 6.94 Li.upf
Re 186.21 Re.upf
Cl 35.45 Cl.upf
CELL_PARAMETERS angstrom
-3.984 3.984 2.123
3.984 -3.984 2.123
3.984 3.984 -2.123
ATOMIC_POSITIONS angstrom
Li 0.000 0.000 0.000
Li 0.000 3.984 1.062
Re 1.992 -1.380 1.593
Re 2.604 1.992 0.531
Re 1.992 5.365 -0.531
Re 1.380 1.992 2.654
Cl 3.984 0.000 1.062
Cl 0.000 0.000 2.123
```

Entry 8:
A plane-wave DFT calculation with PBE-GGA was carried out for LiReCl6 after structural relaxation. Values from VASP.

Summary:
V   235.3 Å³ per cell
Relative energy among the computed polymorphs   0 meV/atom
Total DFT energy (no corrections)   -4.0549 eV per atom

Quantum ESPRESSO input file:
```
&SYSTEM
  ibrav = 0, nat = 8, ntyp = 3
/
ATOMIC_SPECIES
Li 6.94 Li.upf
Re 186.21 Re.upf
Cl 35.45 Cl.upf
CELL_PARAMETERS angstrom
3.375 -5.663 0.000
3.375 5.663 0.000
-0.261 0.000 6.155
ATOMIC_POSITIONS angstrom
Li 0.000 0.000 0.000
Re -0.131 0.000 3.077
Cl 2.355 4.025 1.670
Cl 1.814 0.000 1.785
Cl 4.134 4.025 4.485
Cl 2.355 -4.025 1.670
Cl 4.675 0.000 4.370
Cl 4.134 -4.025 4.485
```

Entry 9:
A plane-wave DFT calculation with PBE-GGA was carried out for Li2ReCl8 after structural relaxation. Values from VASP.

Summary:
V   281.8 Å³ per cell
Total DFT energy (no corrections)   -3.6689 eV per atom

Quantum ESPRESSO input file:
```
&SYSTEM
  ibrav = 0, nat = 11, ntyp = 3
/
ATOMIC_SPECIES
Li 6.94 Li.upf
Re 186.21 Re.upf
Cl 35.45 Cl.upf
CELL_PARAMETERS angstrom
6.687 -3.288 0.000
6.687 3.288 0.000
-0.428 0.000 6.408
ATOMIC_POSITIONS angstrom
Li 1.948 0.000 3.087
Li 10.999 0.000 3.321
Re 0.000 0.000 0.000
Cl 1.732 0.000 5.608
Cl 5.668 1.675 4.860
Cl 7.279 1.675 1.548
Cl 4.019 0.000 2.229
Cl 8.927 0.000 4.180
Cl 5.668 -1.675 4.860
Cl 7.279 -1.675 1.548
Cl 11.215 0.000 0.800
```

Entry 10:
A plane-wave DFT calculation with PBE-GGA was carried out for LiRe2Cl after structural relaxation. Values from VASP.

Summary:
V   80.3 Å³ per cell
Relative energy among the computed polymorphs   186 meV/atom
Total DFT energy (no corrections)   -7.0296 eV per atom

Quantum ESPRESSO input file:
```
&SYSTEM
  ibrav = 0, nat = 4, ntyp = 3
/
ATOMIC_SPECIES
Li 6.94 Li.upf
Re 186.21 Re.upf
Cl 35.45 Cl.upf
CELL_PARAMETERS angstrom
3.100 -1.685 0.000
3.100 1.685 0.000
-2.852 0.000 7.683
ATOMIC_POSITIONS angstrom
Li 0.000 0.000 0.000
Re 2.165 0.000 3.944
Re 4.169 0.000 2.675
Cl -0.863 0.000 6.356
```

Entry 11:
A plane-wave DFT calculation with PBE-GGA was carried out for Li2ReCl after structural relaxation. Values from VASP.

Summary:
V   64.2 Å³ per cell
Relative energy among the computed polymorphs   160 meV/atom
Total DFT energy (no corrections)   -4.6051 eV per atom

Quantum ESPRESSO input file:
```
&SYSTEM
  ibrav = 0, nat = 4, ntyp = 3
/
ATOMIC_SPECIES
Li 6.94 Li.upf
Re 186.21 Re.upf
Cl 35.45 Cl.upf
CELL_PARAMETERS angstrom
2.760 0.000 0.000
0.000 2.760 0.000
0.000 0.000 8.431
ATOMIC_POSITIONS angstrom
Li 0.000 0.000 0.000
Li 1.380 1.380 3.578
Re 0.000 0.000 5.659
Cl 1.380 1.380 1.280
```

Entry 12:
A plane-wave DFT calculation with PBE-GGA was carried out for LiReCl after structural relaxation. Values from VASP.

Summary:
V   45.5 Å³ per cell
Relative energy among the computed polymorphs   200 meV/atom
Total DFT energy (no corrections)   -4.8971 eV per atom

Quantum ESPRESSO input file:
```
&SYSTEM
  ibrav = 0, nat = 3, ntyp = 3
/
ATOMIC_SPECIES
Li 6.94 Li.upf
Re 186.21 Re.upf
Cl 35.45 Cl.upf
CELL_PARAMETERS angstrom
-1.391 1.391 5.877
1.391 -1.391 5.877
1.391 1.391 -5.877
ATOMIC_POSITIONS angstrom
Li 0.000 0.000 0.000
Re 0.000 0.000 7.983
Cl 0.000 0.000 4.101
```

Number 1: formation energy (no corrections) 0.5061 eV/atom, spin magnetization 0.00 μB per formula unit. Number 2: formation energy (no corrections) 1.3959 eV/atom, spin magnetization 0.00 μB per formula unit. Number 3: formation energy (no corrections) 0.1333 eV/atom, spin magnetization 0.95 μB per formula unit. Number 4: formation energy (no corrections) 0.1489 eV/atom, spin magnetization 0.04 μB per formula unit. Number 5: formation energy (no corrections) 0.8496 eV/atom, spin magnetization 0.00 μB per formula unit. Number 6: formation energy (no corrections) 0.8380 eV/atom, spin magnetization 0.00 μB per formula unit. Number 7: formation energy (no corrections) 1.0052 eV/atom, spin magnetization 0.00 μB per formula unit. Number 8: formation energy (no corrections) -0.8747 eV/atom, spin magnetization 2.00 μB per formula unit. Number 9: formation energy (no corrections) -0.8463 eV/atom, spin magnetization 0.98 μB per formula unit. Number 10: formation energy (no corrections) 0.1346 eV/atom, spin magnetization 0.00 μB per formula unit. Number 11: formation energy (no corrections) -0.0745 eV/atom, spin magnetization 0.00 μB per formula unit. Number 12: formation energy (no corrections) 0.5058 eV/atom, spin magnetization 0.00 μB per formula unit.